# CdH12Rh6 | Alexandria via LeMat-Bulk | PBE | relaxed
data_CdH12Rh6
_chemical_formula_sum 'Cd3 H36 Rh18'
_symmetry_space_group_name_H-M 'R -3 m'
_symmetry_Int_Tables_number 166
_symmetry_space_group_name_Hall '-R 3 2"'
_cell_length_a 8.5168
_cell_length_b 8.5168
_cell_length_c 7.0796
_cell_angle_alpha 90.00
_cell_angle_beta 90.00
_cell_angle_gamma 120.00
loop_
_atom_site_label
_atom_site_fract_x
_atom_site_fract_y
_atom_site_fract_z
Cd1 0.0000 0.0000 0.0000
H1 0.0000 0.3594 0.5000
H2 0.0934 0.1868 0.3883
Rh1 0.0684 0.5342 0.3130
# Crystal system ... trigonal
# ρ ... 8.31 Mg/m³
# E ... -4.48 eV/atom

***

# CeSmPaAl | Alexandria via LeMat-Bulk | PBE | relaxed
data_CeSmPaAl
_chemical_formula_sum 'Ce4 Sm4 Pa4 Al4'
_symmetry_space_group_name_H-M 'F -4 3 m'
_symmetry_Int_Tables_number 216
_symmetry_space_group_name_Hall 'F -4 2 3'
_cell_length_a 7.354
_cell_length_b 7.354
_cell_length_c 7.354
_cell_angle_alpha 90.00
_cell_angle_beta 90.00
_cell_angle_gamma 90.00
loop_
_atom_site_label
_atom_site_fract_x
_atom_site_fract_y
_atom_site_fract_z
Ce1 0.000 0.000 0.000
Sm1 0.250 0.250 0.750
Pa1 0.250 0.250 0.250
Al1 0.000 0.000 0.500
# Crystal system ... cubic
# ρ ... 9.16 Mg/m³
# E ... -5.85 eV/atom

***

| no. | calculated volume (A^3/atom) |
| --- | --- |
| 1 | 7.80 |
| 2 | 24.86 |